No. 1
VASP calculation (PBE) on crystalline NdSm3Pt at its relaxed geometry.

Output
The value obtained for the polymorph energy (0 for the lowest one) is 0 meV per atom. The formation energy is -0.478 eV/atom. The symmetry is No. 8.

a = 6.461 Å, b = 6.461 Å, c = 13.637 Å
α = 110.40°, β = 110.40°, γ = 34.83°
Positions (direct):
Nd: 0.000 0.000 0.000
Nd: 0.122 0.122 0.295
Sm: 0.111 0.111 0.610
Sm: 0.235 0.235 0.899
Sm: 0.429 0.429 0.378
Sm: 0.463 0.463 0.759
Sm: 0.773 0.773 0.144
Sm: 0.805 0.805 0.528
Pt: 0.460 0.460 0.146
Pt: 0.771 0.771 0.755

No. 2
VASP calculation (PBE) on crystalline BaFe2Re at its relaxed geometry.

Output
The value obtained for the polymorph energy (0 for the lowest one) is 749 meV per atom. The formation energy is 1.220 eV/atom. The symmetry is No. 123.

a = 4.886 Å, b = 4.886 Å, c = 3.006 Å
α = 90.00°, β = 90.00°, γ = 90.00°
Positions (direct):
Ba: 0.000 0.000 0.000
Fe: 0.000 0.500 0.500
Fe: 0.500 0.000 0.500
Re: 0.500 0.500 0.000

| no. | volume (Å³ per atom) | total DFT energy (no corrections) (eV/atom) |
| --- | --- | --- |
| 1 | 30.3 | -5.471 |
| 2 | 17.9 | -6.604 |